{"formula": "Mg4ZnFe", "functional": "PBE", "state": "relaxed", "sg": "F-43m (216)", "total_energy_ev_per_cell": -13.23, "cell": [[0.000, 3.935, 3.935], [3.935, 0.000, 3.935], [3.935, 3.935, 0.000]], "species": ["Mg", "Mg", "Mg", "Mg", "Zn", "Fe"], "fractional_positions": [[0.125, 0.125, 0.125], [0.125, 0.125, 0.624], [0.125, 0.624, 0.125], [0.624, 0.125, 0.125], [0.750, 0.750, 0.750], [0.500, 0.500, 0.500]]}


{"formula": "Mg2ZnFe2", "functional": "PBE", "state": "relaxed", "sg": "P4/mbm (127)", "total_energy_ev_per_cell": -41.01, "cell": [[6.176, 0.000, 0.000], [0.000, 6.176, 0.000], [0.000, 0.000, 4.134]], "species": ["Mg", "Mg", "Mg", "Mg", "Zn", "Zn", "Fe", "Fe", "Fe", "Fe"], "fractional_positions": [[0.172, 0.328, 0.000], [0.328, 0.828, 0.000], [0.672, 0.172, 0.000], [0.828, 0.672, 0.000], [0.000, 0.000, 0.500], [0.500, 0.500, 0.500], [0.123, 0.623, 0.500], [0.377, 0.123, 0.500], [0.623, 0.877, 0.500], [0.877, 0.377, 0.500]]}